# 1
# RbReAuSeS2, optimized geometry, DFT PBE-GGA
data_RbReAuSeS2
_chemical_formula_sum 'Rb2 Re2 Au2 Se2 S4'
_symmetry_space_group_name_H-M 'P 1'
_symmetry_Int_Tables_number 1
_symmetry_space_group_name_Hall 'P 1'
_cell_length_a 8.6302
_cell_length_b 8.6302
_cell_length_c 9.9669
_cell_angle_alpha 90.00
_cell_angle_beta 90.00
_cell_angle_gamma 155.55
loop_
_atom_site_label
_atom_site_type_symbol
_atom_site_fract_x
_atom_site_fract_y
_atom_site_fract_z
Rb1 Rb 0.7205 0.2795 0.2500
Au1 Au 0.3907 0.6093 0.2500
Rb2 Rb 0.2795 0.7205 0.7500
Re1 Re 0.0000 0.0000 0.0000
Se1 Se 0.0468 0.9532 0.2500
S1 S 0.5980 0.4020 0.9820
Au2 Au 0.6093 0.3907 0.7500
S2 S 0.4020 0.5980 0.4820
Re2 Re 0.0000 0.0000 0.5000
Se2 Se 0.9532 0.0468 0.7500
S3 S 0.5980 0.4020 0.5180
S4 S 0.4020 0.5980 0.0180
# M_tot (μB per cell): 5.0
# Energy (eV per atom): -4.95
# Symmetry: Cmcm (63)



# 2
# NbHgSb2, optimized geometry, DFT PBE-GGA
data_NbHgSb2
_chemical_formula_sum 'Nb1 Hg1 Sb2'
_symmetry_space_group_name_H-M 'P 1'
_symmetry_Int_Tables_number 1
_symmetry_space_group_name_Hall 'P 1'
_cell_length_a 5.0861
_cell_length_b 5.0861
_cell_length_c 5.0861
_cell_angle_alpha 60.00
_cell_angle_beta 60.00
_cell_angle_gamma 60.00
loop_
_atom_site_label
_atom_site_type_symbol
_atom_site_fract_x
_atom_site_fract_y
_atom_site_fract_z
Nb1 Nb 0.7500 0.7500 0.7500
Sb1 Sb 0.0000 0.0000 0.0000
Hg1 Hg 0.5000 0.5000 0.5000
Sb2 Sb 0.2500 0.2500 0.2500
# M_tot (μB per cell): 0.7
# Energy (eV per atom): -4.13
# Symmetry: F-43m (216)



# 3
# HoAgTeSe, optimized geometry, DFT PBE-GGA
data_HoAgTeSe
_chemical_formula_sum 'Ho2 Ag2 Te2 Se2'
_symmetry_space_group_name_H-M 'P 1'
_symmetry_Int_Tables_number 1
_symmetry_space_group_name_Hall 'P 1'
_cell_length_a 4.4863
_cell_length_b 6.9175
_cell_length_c 6.9286
_cell_angle_alpha 90.00
_cell_angle_beta 90.86
_cell_angle_gamma 90.00
loop_
_atom_site_label
_atom_site_type_symbol
_atom_site_fract_x
_atom_site_fract_y
_atom_site_fract_z
Ho1 Ho 0.3008 0.9944 0.2237
Te1 Te 0.7969 0.2034 0.4507
Ag1 Ag 0.5017 0.0039 0.7489
Se1 Se 0.2215 0.2984 0.9518
Se2 Se 0.7785 0.7984 0.0482
Ag2 Ag 0.4983 0.5039 0.2511
Ho2 Ho 0.6992 0.4944 0.7763
Te2 Te 0.2031 0.7034 0.5493
# Energy above the most stable polymorph in this dataset (meV per atom): 0
# M_tot (μB per cell): 0.0
# Symmetry: P2_1 (4)



# 4
# CdTePbO, optimized geometry, DFT PBE-GGA
data_CdTePbO
_chemical_formula_sum 'Cd2 Te2 Pb2 O2'
_symmetry_space_group_name_H-M 'P 1'
_symmetry_Int_Tables_number 1
_symmetry_space_group_name_Hall 'P 1'
_cell_length_a 3.9029
_cell_length_b 3.9030
_cell_length_c 14.6993
_cell_angle_alpha 90.00
_cell_angle_beta 90.00
_cell_angle_gamma 120.00
loop_
_atom_site_label
_atom_site_type_symbol
_atom_site_fract_x
_atom_site_fract_y
_atom_site_fract_z
Te1 Te 0.6665 0.3331 0.1204
O1 O 0.0000 0.0002 0.8152
Cd1 Cd 0.3332 0.6665 0.2723
O2 O 0.0000 0.9998 0.3152
Te2 Te 0.3335 0.6669 0.6204
Pb1 Pb 0.0001 0.0002 0.4798
Pb2 Pb 0.9999 0.9998 0.9798
Cd2 Cd 0.6668 0.3335 0.7723
# Energy above the most stable polymorph in this dataset (meV per atom): 263
# Symmetry: P6_3mc (186)



# 5
# ThCoB, optimized geometry, DFT PBE-GGA
data_ThCoB
_chemical_formula_sum 'Th1 Co1 B1'
_symmetry_space_group_name_H-M 'P 1'
_symmetry_Int_Tables_number 1
_symmetry_space_group_name_Hall 'P 1'
_cell_length_a 4.1909
_cell_length_b 4.1909
_cell_length_c 4.1909
_cell_angle_alpha 60.00
_cell_angle_beta 60.00
_cell_angle_gamma 60.00
loop_
_atom_site_label
_atom_site_type_symbol
_atom_site_fract_x
_atom_site_fract_y
_atom_site_fract_z
Th1 Th 0.7500 0.7500 0.7500
Co1 Co 0.2500 0.2500 0.2500
B1 B 0.0000 0.0000 0.0000
# M_tot (μB per cell): 1.7
# Energy (eV per atom): -6.92
# Symmetry: F-43m (216)



# 6
# DyAl6Cu, optimized geometry, DFT PBE-GGA
data_DyAl6Cu
_chemical_formula_sum 'Dy1 Al6 Cu1'
_symmetry_space_group_name_H-M 'P 1'
_symmetry_Int_Tables_number 1
_symmetry_space_group_name_Hall 'P 1'
_cell_length_a 6.0133
_cell_length_b 6.0133
_cell_length_c 4.5534
_cell_angle_alpha 90.00
_cell_angle_beta 90.00
_cell_angle_gamma 120.00
loop_
_atom_site_label
_atom_site_type_symbol
_atom_site_fract_x
_atom_site_fract_y
_atom_site_fract_z
Al1 Al 0.4855 0.5145 0.5000
Al2 Al 0.0290 0.5145 0.5000
Al3 Al 0.4855 0.9710 0.5000
Al4 Al 0.1621 0.3241 0.0000
Al5 Al 0.6759 0.8379 0.0000
Dy1 Dy 0.6667 0.3333 0.0000
Al6 Al 0.1621 0.8379 0.0000
Cu1 Cu 0.0000 0.0000 0.5000
# M_tot (μB per cell): 0.0
# Energy (eV per atom): -3.94
# Symmetry: P-6m2 (187)



# 7
# LuBeGe, optimized geometry, DFT PBE-GGA
data_LuBeGe
_chemical_formula_sum 'Lu1 Be1 Ge1'
_symmetry_space_group_name_H-M 'P 1'
_symmetry_Int_Tables_number 1
_symmetry_space_group_name_Hall 'P 1'
_cell_length_a 3.8705
_cell_length_b 3.8705
_cell_length_c 3.9392
_cell_angle_alpha 90.00
_cell_angle_beta 90.00
_cell_angle_gamma 120.00
loop_
_atom_site_label
_atom_site_type_symbol
_atom_site_fract_x
_atom_site_fract_y
_atom_site_fract_z
Ge1 Ge 0.3333 0.6667 0.8332
Lu1 Lu 0.6667 0.3333 0.3332
Be1 Be 0.0000 0.0000 0.8336
# M_tot (μB per cell): 0.0
# Energy (eV per atom): -4.92
# Symmetry: P-6m2 (187)



# 8
# Sr8In4Cu3N5, optimized geometry, DFT PBE-GGA
data_Sr8In4Cu3N5
_chemical_formula_sum 'Sr8 In4 Cu3 N5'
_symmetry_space_group_name_H-M 'P 1'
_symmetry_Int_Tables_number 1
_symmetry_space_group_name_Hall 'P 1'
_cell_length_a 3.8086
_cell_length_b 11.4993
_cell_length_c 11.4993
_cell_angle_alpha 110.88
_cell_angle_beta 99.53
_cell_angle_gamma 99.53
loop_
_atom_site_label
_atom_site_type_symbol
_atom_site_fract_x
_atom_site_fract_y
_atom_site_fract_z
Sr1 Sr 0.1485 0.4378 0.8592
Cu1 Cu 0.5000 0.8074 0.1926
N1 N 0.3488 0.0430 0.6545
Sr2 Sr 0.1520 0.0540 0.2500
Cu2 Cu 0.5000 0.1926 0.8074
Sr3 Sr 0.8515 0.1408 0.5622
In1 In 0.5000 0.5839 0.4161
Sr4 Sr 0.8480 0.7500 0.9460
N2 N 0.6512 0.3455 0.9570
In2 In 0.5000 0.4161 0.5839
Sr5 Sr 0.8515 0.5622 0.1408
Sr6 Sr 0.1485 0.8592 0.4378
Cu3 Cu 0.5000 0.0000 0.0000
N3 N 0.0000 0.0000 0.0000
Sr7 Sr 0.8480 0.9460 0.7500
In3 In 0.8470 0.3470 0.3470
In4 In 0.1530 0.6530 0.6530
N4 N 0.6512 0.9570 0.3455
N5 N 0.3488 0.6545 0.0430
Sr8 Sr 0.1520 0.2500 0.0540
# Energy (eV per atom): -4.36
# Symmetry: Immm (71)



# 9
# PrNdP2Os2N2, optimized geometry, DFT PBE-GGA
data_PrNdP2Os2N2
_chemical_formula_sum 'Pr1 Nd1 P2 Os2 N2'
_symmetry_space_group_name_H-M 'P 1'
_symmetry_Int_Tables_number 1
_symmetry_space_group_name_Hall 'P 1'
_cell_length_a 4.0676
_cell_length_b 4.0676
_cell_length_c 8.5531
_cell_angle_alpha 90.00
_cell_angle_beta 90.00
_cell_angle_gamma 90.00
loop_
_atom_site_label
_atom_site_type_symbol
_atom_site_fract_x
_atom_site_fract_y
_atom_site_fract_z
P1 P 0.5000 0.5000 0.3609
P2 P 0.0000 0.0000 0.6375
N1 N 0.0000 0.5000 0.0019
Os1 Os 0.0000 0.5000 0.4991
Os2 Os 0.5000 0.0000 0.4991
Pr1 Pr 0.5000 0.5000 0.8616
N2 N 0.5000 0.0000 0.0019
Nd1 Nd 0.0000 0.0000 0.1380
# M_tot (μB per cell): 0.5
# Energy (eV per atom): -8.04
# Symmetry: P4mm (99)



# 10
# NaUAl, optimized geometry, DFT PBE-GGA
data_NaUAl
_chemical_formula_sum 'Na1 U1 Al1'
_symmetry_space_group_name_H-M 'P 1'
_symmetry_Int_Tables_number 1
_symmetry_space_group_name_Hall 'P 1'
_cell_length_a 4.8109
_cell_length_b 4.8109
_cell_length_c 4.8109
_cell_angle_alpha 60.00
_cell_angle_beta 60.00
_cell_angle_gamma 60.00
loop_
_atom_site_label
_atom_site_type_symbol
_atom_site_fract_x
_atom_site_fract_y
_atom_site_fract_z
U1 U 0.7500 0.7500 0.7500
Al1 Al 0.2500 0.2500 0.2500
Na1 Na 0.0000 0.0000 0.0000
# Energy above the most stable polymorph in this dataset (meV per atom): 0
# M_tot (μB per cell): 2.7
# Symmetry: F-43m (216)



# 11
# Sc4CdSnN2, optimized geometry, DFT PBE-GGA
data_Sc4CdSnN2
_chemical_formula_sum 'Sc4 Cd1 Sn1 N2'
_symmetry_space_group_name_H-M 'P 1'
_symmetry_Int_Tables_number 1
_symmetry_space_group_name_Hall 'P 1'
_cell_length_a 3.2601
_cell_length_b 3.2601
_cell_length_c 14.7498
_cell_angle_alpha 90.00
_cell_angle_beta 90.00
_cell_angle_gamma 120.00
loop_
_atom_site_label
_atom_site_type_symbol
_atom_site_fract_x
_atom_site_fract_y
_atom_site_fract_z
Sn1 Sn 0.6667 0.3333 0.5000
Sc1 Sc 0.6667 0.3333 0.1708
Cd1 Cd 0.3333 0.6667 0.0000
Sc2 Sc 0.3333 0.6667 0.3339
N1 N 0.0000 0.0000 0.7462
N2 N 0.0000 0.0000 0.2538
Sc3 Sc 0.6667 0.3333 0.8292
Sc4 Sc 0.3333 0.6667 0.6661
# M_tot (μB per cell): 0.3
# Energy (eV per atom): -7.03
# Symmetry: P-6m2 (187)



# 12
# KNbMo, optimized geometry, DFT PBE-GGA
data_KNbMo
_chemical_formula_sum 'K1 Nb1 Mo1'
_symmetry_space_group_name_H-M 'P 1'
_symmetry_Int_Tables_number 1
_symmetry_space_group_name_Hall 'P 1'
_cell_length_a 4.9184
_cell_length_b 4.9184
_cell_length_c 4.9184
_cell_angle_alpha 60.00
_cell_angle_beta 60.00
_cell_angle_gamma 60.00
loop_
_atom_site_label
_atom_site_type_symbol
_atom_site_fract_x
_atom_site_fract_y
_atom_site_fract_z
Nb1 Nb 0.7500 0.7500 0.7500
K1 K 0.0000 0.0000 0.0000
Mo1 Mo 0.2500 0.2500 0.2500
# Energy above the most stable polymorph in this dataset (meV per atom): 910
# M_tot (μB per cell): 0.1
# Symmetry: F-43m (216)



# 13
# RbLuPd, optimized geometry, DFT PBE-GGA
data_RbLuPd
_chemical_formula_sum 'Rb1 Lu1 Pd1'
_symmetry_space_group_name_H-M 'P 1'
_symmetry_Int_Tables_number 1
_symmetry_space_group_name_Hall 'P 1'
_cell_length_a 5.0767
_cell_length_b 5.0767
_cell_length_c 5.0767
_cell_angle_alpha 60.00
_cell_angle_beta 60.00
_cell_angle_gamma 60.00
loop_
_atom_site_label
_atom_site_type_symbol
_atom_site_fract_x
_atom_site_fract_y
_atom_site_fract_z
Rb1 Rb 0.0000 0.0000 0.0000
Lu1 Lu 0.2500 0.2500 0.2500
Pd1 Pd 0.7500 0.7500 0.7500
# Energy above the most stable polymorph in this dataset (meV per atom): 804
# M_tot (μB per cell): 0.0
# Symmetry: F-43m (216)



| no. | theoretical density (g/cm³) |
| --- | --- |
| 1 | 6.6 |
| 2 | 9.6 |
| 3 | 7.4 |
| 4 | 7.9 |
| 5 | 9.6 |
| 6 | 4.5 |
| 7 | 8.3 |
| 8 | 5.2 |
| 9 | 8.9 |
| 10 | 6.1 |
| 11 | 5.4 |
| 12 | 4.5 |
| 13 | 6.6 |